Density functional theory data (PBE with a Hubbard U) for an optimized crystal structure of VCuO2. Values from VASP.

Computed properties:
* energy: -0.4848 Ry per atom
* ρ: 4.6 Mg/m³
* space-group type: Pmn2_1 (31)

The structure in Quantum ESPRESSO input format:
```
&SYSTEM
  ibrav = 0, nat = 8, ntyp = 3
/
ATOMIC_SPECIES
V 50.94 V.upf
Cu 63.55 Cu.upf
O 16.00 O.upf
CELL_PARAMETERS angstrom
3.5479 0.0000 0.0000
0.0000 7.1421 0.0000
0.0000 0.0000 4.1367
ATOMIC_POSITIONS crystal
V 0.0000 0.1021 0.0000
V 0.5000 0.8979 0.5000
Cu 0.0000 0.5784 0.3856
Cu 0.5000 0.4216 0.8856
O 0.0000 0.0370 0.5063
O 0.0000 0.3693 0.0077
O 0.5000 0.6307 0.5077
O 0.5000 0.9630 0.0063
```